{
  "formula": "Np3Tl4RhS8",
  "functional": "PBE",
  "state": "optimized geometry",
  "dos_at_fermi_per_ev_cell": 31.4,
  "final_energy_ev_per_atom": -6.368,
  "raw_formation_energy_mev_per_atom": -827,
  "spacegroup": "C2/m (12)",
  "lattice_angstrom": [[7.761, 0.000, 0.000], [0.000, 8.830, 0.748], [-3.880, -3.869, 5.493]],
  "species": ["Np", "Np", "Np", "Tl", "Tl", "Tl", "Tl", "Rh", "S", "S", "S", "S", "S", "S", "S", "S"],
  "frac_coords": [[0.500, 0.500, 0.000], [0.500, 0.500, 0.500], [0.000, 0.500, 0.500], [0.500, 0.000, 0.000], [0.500, 0.000, 0.500], [0.000, 0.000, 0.000], [0.000, 0.000, 0.500], [0.000, 0.500, 0.000], [0.220, 0.687, 0.968], [0.220, 0.688, 0.441], [0.267, 0.300, 0.534], [0.748, 0.687, 0.968], [0.252, 0.313, 0.032], [0.733, 0.700, 0.466], [0.780, 0.312, 0.559], [0.780, 0.313, 0.032]]
}